8
Lattice="3.0745 -3.0801 0.0000 3.0745 3.0801 0.0000 -1.2787 0.0000 11.3455" Properties=species:S:1:pos:R:3 comment="SmGaSb2 | Alexandria | PBE | relaxed" formation_energy_uncorrected_ev_per_atom=-0.532 magmom_total_mub_per_fu=0.00 e_above_lowest_polymorph_ev_per_atom=0.0982 pbc="T T T"
Sm 0.0078 0.0000 2.4734
Sm 4.8626 0.0000 8.8721
Ga 2.4352 1.7410 5.6728
Ga 2.4352 -1.7410 5.6728
Sb 1.5373 1.5401 0.0000
Sb 1.7923 0.0000 7.8656
Sb 1.5373 -1.5401 0.0000
Sb 3.0781 0.0000 3.4799